# 1
Here is an optimized crystal structure of K2IrSe from Alexandria. Energies are from PBE-GGA.

Structure (CIF):
```
data_K2IrSe
_space_group_name_H-M_alt 'P m m 2'
_space_group_IT_number 25
_space_group_name_Hall 'P 2 -2'
_cell_length_a 3.536
_cell_length_b 3.550
_cell_length_c 9.861
_cell_angle_alpha 90.00
_cell_angle_beta 90.00
_cell_angle_gamma 90.00
loop_
_atom_site_label
_atom_site_fract_x
_atom_site_fract_y
_atom_site_fract_z
_atom_site_occupancy
K1 0.000 0.000 0.000 1
K2 0.500 0.500 0.423 1
Ir1 0.000 0.000 0.680 1
Se1 0.500 0.500 0.745 1
```

Results
E = -14.35 eV/f.u.
Formation energy from raw total energies = 0.05 eV/atom

***

# 2
Here is an optimized crystal structure of KIrSe from Alexandria. Energies are from PBE-GGA.

Structure (CIF):
```
data_KIrSe
_space_group_name_H-M_alt 'F -4 3 m'
_space_group_IT_number 216
_space_group_name_Hall 'F -4 2 3'
_cell_length_a 6.965
_cell_length_b 6.965
_cell_length_c 6.965
_cell_angle_alpha 90.00
_cell_angle_beta 90.00
_cell_angle_gamma 90.00
loop_
_atom_site_label
_atom_site_fract_x
_atom_site_fract_y
_atom_site_fract_z
_atom_site_occupancy
K1 0.000 0.000 0.000 1
Ir1 0.250 0.250 0.750 1
Se1 0.250 0.250 0.250 1
```

Results
E above lowest polymorph = 1626 meV/atom
E = -9.01 eV/f.u.
Formation energy from raw total energies = 1.48 eV/atom